HfNb2Sn after structural relaxation, computed with PBE-GGA.

a b c (Å): 5.5565 5.5565 8.9317
angles (deg): 90.00 90.00 143.40
Fractional coordinates of all 8 atoms:
Hf 0.0482 0.9518 0.7500
Hf 0.9518 0.0482 0.2500
Nb 0.3747 0.6253 0.5257
Nb 0.3747 0.6253 0.9743
Nb 0.6253 0.3747 0.0257
Nb 0.6253 0.3747 0.4743
Sn 0.2277 0.7723 0.2500
Sn 0.7723 0.2277 0.7500

Calculated formation energy: -1.11 kcal/mol of atoms
Symmetry: Cmcm
DOS at the Fermi energy: 2.87 states/eV/f.u.
Magnetization: 0.0 μB per formula unit